Ba2Fe2As2N: optimized geometry, PBE.

The space group is C2/m (No. 12) and the conventional cell measures 11.3076, 4.0576 and 7.6246 Å, with angles of 90.00, 123.25 and 90.00 degrees. Symmetry generates all atoms from Ba at (0.0569, 0.0000, 0.3136), Fe at (0.1727, 0.5000, 0.0554), As at (0.2021, 0.5000, 0.7720) and N at (0.0000, 0.5000, 0.0000).

The value obtained for the density of states at the Fermi level is 0.76 states/eV/atom. The formation energy from raw total energies comes out at -0.6468 eV/atom. The value obtained for the calculated total energy is -6.132 eV per atom. The crystal system is monoclinic. The value obtained for the total magnetization is 0.003 μB/cell.

***

BaFe2AsN2: optimized geometry, PBE.

The space group is P2_1/m (No. 11) and the conventional cell measures 6.4658, 4.8496 and 7.4013 Å, with angles of 90.00, 111.38 and 90.00 degrees. Symmetry generates all atoms from Ba at (0.1810, 0.2500, 0.3494), Fe at (0.3601, 0.9998, 0.8106), As at (0.3040, 0.7500, 0.0640), N at (0.1529, 0.2500, 0.7242) and N at (0.3798, 0.7500, 0.6473).

The value obtained for the density of states at the Fermi level is 0.32 states/eV/atom. The formation energy from raw total energies comes out at -0.5065 eV/atom. The value obtained for the calculated total energy is -7.198 eV per atom. The crystal system is monoclinic. The value obtained for the total magnetization is 0.000 μB/cell.

***

Ba4NaFe10As10: optimized geometry, PBE.

The space group is I4/m (No. 87) and the conventional cell measures 8.8122, 8.8122 and 12.6847 Å, with angles of 90.00, 90.00 and 90.00 degrees. Symmetry generates all atoms from Ba at (0.1079, 0.6975, 0.0000), Na at (0.0000, 0.0000, 0.5000), Fe at (0.0000, 0.5000, 0.2500), Fe at (0.1003, 0.2001, 0.2494), As at (0.0000, 0.0000, 0.1530) and As at (0.0998, 0.7019, 0.3476).

Its formation enthalpy at 0 K is -483 meV per atom. The value obtained for the density of states at the Fermi level is 0.92 states/eV/atom. The value obtained for the calculated total energy is -6.088 eV per atom. The crystal system is tetragonal. The value obtained for the total magnetization is 1.663 μB/cell.

***

BaFeNi2As8: optimized geometry, PBE.

The space group is R-3 (No. 148, hexagonal axes) and the conventional cell measures 6.2052, 6.2052 and 21.5046 Å, with angles of 90.00, 90.00 and 120.00 degrees. Symmetry generates all atoms from Ba at (0.0000, 0.0000, 0.0000), Fe at (0.0000, 0.0000, 0.5000), Ni at (0.0000, 0.0000, 0.2748), As at (0.0000, 0.0000, 0.3829) and As at (0.0106, 0.6451, 0.4516).

Its formation enthalpy at 0 K is -123 meV per atom. The value obtained for the density of states at the Fermi level is 0.59 states/eV/atom. The value obtained for the calculated total energy is -5.051 eV per atom. The crystal system is trigonal. The value obtained for the total magnetization is 1.112 μB/cell.